[1]
Entry from Alexandria: KLi2Pt at its PBEsol-relaxed geometry (meta-GGA SCAN).

Results
* crystal system: tetragonal
* DFT formation energy: -0.15 eV/atom

Lattice parameters (Å, degrees): 3.3606 3.3606 8.0042 90.00 90.00 90.00
Element x y z (fractional)
1 K 0.5000 0.5000 0.6883
2 Li 0.0000 0.0000 0.0996
3 Li 0.5000 0.5000 0.3044
4 Pt 0.0000 0.0000 0.4077

=====

[2]
Entry from Alexandria: Zr2IrAu at its PBEsol-relaxed geometry (meta-GGA SCAN).

Results
* crystal system: orthorhombic
* DFT formation energy: -0.98 eV/atom

Lattice parameters (Å, degrees): 3.3311 4.3521 5.4470 90.00 107.80 90.00
Element x y z (fractional)
1 Au 0.8378 0.0000 0.6757
2 Ir 0.6563 0.5000 0.3126
3 Zr 0.1093 0.0000 0.2185
4 Zr 0.3985 0.5000 0.7970

=====

[3]
Entry from Alexandria: TaCu6O8 at its PBEsol-relaxed geometry (meta-GGA SCAN).

Results
* crystal system: cubic
* energy relative to the elements, uncorrected: -1.136 eV/atom

Lattice parameters (Å, degrees): 6.4404 6.4404 6.4404 60.00 60.00 60.00
Element x y z (fractional)
1 O 0.5943 0.1352 0.1352
2 O 0.1352 0.1352 0.1352
3 O 0.8648 0.8648 0.8648
4 O 0.1352 0.5943 0.1352
5 O 0.8648 0.4057 0.8648
6 O 0.1352 0.1352 0.5943
7 O 0.8648 0.8648 0.4057
8 O 0.4057 0.8648 0.8648
9 Cu 0.5000 0.5000 0.0000
10 Cu 0.0000 0.0000 0.5000
11 Cu 0.5000 0.0000 0.5000
12 Cu 0.0000 0.5000 0.5000
13 Cu 0.5000 0.0000 0.0000
14 Cu 0.0000 0.5000 0.0000
15 Ta 0.0000 0.0000 0.0000

=====

[4]
Entry from Alexandria: Ta2CuSb at its PBEsol-relaxed geometry (meta-GGA SCAN).

Results
* crystal system: orthorhombic
* energy relative to the elements, uncorrected: 0.070 eV/atom

Lattice parameters (Å, degrees): 3.5888 4.3182 5.1801 114.63 110.27 90.00
Element x y z (fractional)
1 Sb 0.0000 0.5000 0.0000
2 Cu 0.5000 0.0000 0.0000
3 Ta 0.2469 0.2469 0.4938
4 Ta 0.7531 0.7531 0.5062

=====

[5]
Entry from Alexandria: GaNiIrS2 at its PBEsol-relaxed geometry (meta-GGA SCAN).

Results
* crystal system: tetragonal
* energy relative to the elements, uncorrected: 0.597 eV/atom

Lattice parameters (Å, degrees): 4.5641 4.5641 4.6308 90.00 90.00 90.00
Last column: magnetic moment on the atom in μB.
Element x y z (fractional)
1 Ir 0.0000 0.0000 0.0000  0.53
2 Ga 0.5000 0.5000 0.5000  0.00
3 Ni 0.0000 0.0000 0.5000  0.97
4 S 0.5000 0.0000 0.0000  0.12
5 S 0.0000 0.5000 0.0000  0.12

=====

[6]
Entry from Alexandria: CrIrPb2 at its PBEsol-relaxed geometry (meta-GGA SCAN).

Results
* crystal system: monoclinic
* DFT formation energy: 0.40 eV/atom

Lattice parameters (Å, degrees): 3.0586 5.1537 5.5239 107.16 106.07 90.00
Last column: magnetic moment on the atom in μB.
Element x y z (fractional)
1 Ir 0.2118 0.7699 0.4237  -0.06
2 Pb 0.9766 0.9413 0.9532  -0.02
3 Pb 0.7741 0.3097 0.5481  -0.02
4 Cr 0.5375 0.4791 0.0750  3.39

=====

[7]
Entry from Alexandria: MgTi2PtO at its PBEsol-relaxed geometry (meta-GGA SCAN).

Results
* crystal system: tetragonal
* energy relative to the elements, uncorrected: -1.595 eV/atom

Lattice parameters (Å, degrees): 4.0513 4.0513 4.1020 90.00 90.00 90.00
Element x y z (fractional)
1 Ti 0.5000 0.0000 0.0000
2 Ti 0.0000 0.5000 0.0000
3 O 0.0000 0.0000 0.0000
4 Mg 0.0000 0.0000 0.5000
5 Pt 0.5000 0.5000 0.5000

=====

[8]
Entry from Alexandria: Ba3SrI8 at its PBEsol-relaxed geometry (meta-GGA SCAN).

Results
* crystal system: tetragonal
* energy relative to the elements, uncorrected: -1.933 eV/atom

Lattice parameters (Å, degrees): 8.1218 8.1218 9.9477 114.09 114.09 90.00
Element x y z (fractional)
1 I 0.8774 0.8774 0.2458
2 I 0.3683 0.3683 0.2458
3 I 0.6317 0.6317 0.7542
4 I 0.3683 0.8774 0.2458
5 I 0.1226 0.6317 0.7542
6 I 0.8774 0.3683 0.2458
7 I 0.6317 0.1226 0.7542
8 I 0.1226 0.1226 0.7542
9 Ba 0.2500 0.7500 0.5000
10 Ba 0.7500 0.2500 0.5000
11 Ba 0.5000 0.5000 0.0000
12 Sr 0.0000 0.0000 0.0000